Record 1
VASP calculation (PBE-GGA) on a geometry-optimized CsNdHg structure.

Unit cell a=5.4327 b=5.4327 c=5.4327 alpha=60.00 beta=60.00 gamma=60.00
With the nearest neighbours (Å) after each atom.
Element x y z (fractional)
Cs (0.0000, 0.0000, 0.0000)  4 Hg 3.33, 4 Nd 3.33
Nd (0.2500, 0.2500, 0.2500)  4 Cs 3.33
Hg (0.7500, 0.7500, 0.7500)  4 Cs 3.33

Calculated values
- DFT total energy (eV/cell) = -3.7
- total magnetic moment (μB per formula unit) = 0.0

***

Record 2
VASP calculation (PBE-GGA) on a geometry-optimized CsNdHg3O4 structure.

Unit cell a=6.1006 b=6.1006 c=6.1006 alpha=90.00 beta=90.00 gamma=90.00
With the nearest neighbours (Å) after each atom.
Element x y z (fractional)
Cs (0.0000, 0.0000, 0.0000)  4 O 3.04
Nd (0.5000, 0.5000, 0.5000)  4 O 2.24
Hg (0.0000, 0.5000, 0.5000)  4 O 2.54
Hg (0.5000, 0.0000, 0.5000)  4 O 2.54
Hg (0.5000, 0.5000, 0.0000)  4 O 2.54
O (0.2877, 0.2877, 0.2877)  1 Nd 2.24
O (0.2877, 0.7123, 0.7123)  1 Nd 2.24
O (0.7123, 0.2877, 0.7123)  1 Nd 2.24
O (0.7123, 0.7123, 0.2877)  1 Nd 2.24

Calculated values
- DFT total energy (eV/cell) = -34.9
- total magnetic moment (μB per formula unit) = 0.0

***

Record 3
VASP calculation (PBE-GGA) on a geometry-optimized CsNdHgS3 structure.

Unit cell a=9.3524 b=9.3524 c=9.2721 alpha=101.55 beta=101.55 gamma=26.39
With the nearest neighbours (Å) after each atom.
Element x y z (fractional)
Cs (0.1480, 0.1480, 0.0682)  7 S 3.39-3.54
Cs (0.8520, 0.8520, 0.9318)  7 S 3.39-3.54
Nd (0.1659, 0.1659, 0.5689)  6 S 2.83-2.96
Nd (0.8341, 0.8341, 0.4311)  6 S 2.83-2.96
Hg (0.4839, 0.4839, 0.2719)  2 S 2.59-2.60
Hg (0.5161, 0.5161, 0.7281)  2 S 2.59-2.60
S (0.0000, 0.0000, 0.5000)  2 Nd 2.96, 4 Hg 2.98
S (0.3254, 0.3254, 0.6274)  3 Nd 2.83-2.84
S (0.3390, 0.3390, 0.2300)  1 Hg 2.59, 2 Nd 2.85
S (0.5000, 0.5000, 0.0000)  2 Hg 2.60
S (0.6610, 0.6610, 0.7700)  1 Hg 2.59, 2 Nd 2.85
S (0.6746, 0.6746, 0.3726)  3 Nd 2.83-2.84

Calculated values
- DFT total energy (eV/cell) = -50.3
- total magnetic moment (μB per formula unit) = 0.0

***

Record 4
VASP calculation (PBE-GGA) on a geometry-optimized CsNdHgS3 structure.

Unit cell a=8.8065 b=4.2704 c=10.8019 alpha=90.00 beta=109.95 gamma=90.00
With the nearest neighbours (Å) after each atom.
Element x y z (fractional)
Cs (0.2406, 0.2500, 0.2206)  6 S 3.52-3.81
Cs (0.7594, 0.7500, 0.7794)  6 S 3.52-3.81
Nd (0.1830, 0.7500, 0.6315)  5 S 2.75-2.89
Nd (0.8170, 0.2500, 0.3685)  5 S 2.75-2.89
Hg (0.4081, 0.2500, 0.8812)  3 S 2.51-2.62
Hg (0.5919, 0.7500, 0.1188)  3 S 2.51-2.62
S (0.0289, 0.7500, 0.3631)  3 Nd 2.75-2.85
S (0.2737, 0.7500, 0.9384)  3 Hg 2.62-2.81
S (0.4114, 0.2500, 0.6497)  1 Hg 2.51
S (0.5886, 0.7500, 0.3503)  1 Hg 2.51
S (0.7263, 0.2500, 0.0616)  3 Hg 2.62-2.81
S (0.9711, 0.2500, 0.6369)  3 Nd 2.75-2.85

Calculated values
- DFT total energy (eV/cell) = -51.4
- total magnetic moment (μB per formula unit) = 0.0

***

Record 5
VASP calculation (PBE-GGA) on a geometry-optimized CsNdHg3Se4 structure.

Unit cell a=7.1072 b=7.1072 c=7.1072 alpha=90.00 beta=90.00 gamma=90.00
With the nearest neighbours (Å) after each atom.
Element x y z (fractional)
Cs (0.0000, 0.0000, 0.0000)  4 Se 3.39
Nd (0.5000, 0.5000, 0.5000)  4 Se 2.76
Hg (0.0000, 0.5000, 0.5000)  4 Se 2.99
Hg (0.5000, 0.0000, 0.5000)  4 Se 2.99
Hg (0.5000, 0.5000, 0.0000)  4 Se 2.99
Se (0.2757, 0.2757, 0.2757)  1 Nd 2.76, 3 Hg 2.99
Se (0.2757, 0.7243, 0.7243)  1 Nd 2.76, 3 Hg 2.99
Se (0.7243, 0.2757, 0.7243)  1 Nd 2.76, 3 Hg 2.99
Se (0.7243, 0.7243, 0.2757)  1 Nd 2.76, 3 Hg 2.99

Calculated values
- DFT total energy (eV/cell) = -26.4
- total magnetic moment (μB per formula unit) = 0.0

***

Record 6
VASP calculation (PBE-GGA) on a geometry-optimized CsNdHg3Te4 structure.

Unit cell a=7.5130 b=7.5130 c=7.5130 alpha=90.00 beta=90.00 gamma=90.00
With the nearest neighbours (Å) after each atom.
Element x y z (fractional)
Cs (0.0000, 0.0000, 0.0000)  4 Te 3.55
Nd (0.5000, 0.5000, 0.5000)  4 Te 2.96
Hg (0.0000, 0.5000, 0.5000)  4 Te 3.17
Hg (0.5000, 0.0000, 0.5000)  4 Te 3.17
Hg (0.5000, 0.5000, 0.0000)  4 Te 3.17
Te (0.2729, 0.2729, 0.2729)  1 Nd 2.96, 3 Hg 3.17
Te (0.2729, 0.7271, 0.7271)  1 Nd 2.96, 3 Hg 3.17
Te (0.7271, 0.2729, 0.7271)  1 Nd 2.96, 3 Hg 3.17
Te (0.7271, 0.7271, 0.2729)  1 Nd 2.96, 3 Hg 3.17

Calculated values
- DFT total energy (eV/cell) = -23.6
- total magnetic moment (μB per formula unit) = 0.0

***

Record 7
VASP calculation (PBE-GGA) on a geometry-optimized CsNiHgTe3 structure.

Unit cell a=8.8910 b=8.8910 c=11.8063 alpha=90.00 beta=90.00 gamma=154.42
With the nearest neighbours (Å) after each atom.
Element x y z (fractional)
Cs (0.2480, 0.7520, 0.7500)  2 Hg 3.77, 4 Te 3.80-4.14, 2 Cs 3.94
Cs (0.7520, 0.2480, 0.2500)  2 Hg 3.77, 4 Te 3.80-4.14, 2 Cs 3.94
Ni (0.0000, 0.0000, 0.0000)  4 Te 2.59
Ni (0.0000, 0.0000, 0.5000)  4 Te 2.59
Hg (0.4377, 0.5623, 0.2500)  4 Te 2.82-2.95
Hg (0.5623, 0.4377, 0.7500)  4 Te 2.82-2.95
Te (0.0644, 0.9356, 0.2500)  2 Hg 2.95, 2 Ni 3.16
Te (0.4037, 0.5963, 0.0162)  2 Ni 2.59, 1 Hg 2.82
Te (0.4037, 0.5963, 0.4838)  2 Ni 2.59, 1 Hg 2.82
Te (0.5963, 0.4037, 0.5162)  2 Ni 2.59, 1 Hg 2.82
Te (0.5963, 0.4037, 0.9838)  2 Ni 2.59, 1 Hg 2.82
Te (0.9356, 0.0644, 0.7500)  2 Hg 2.95, 2 Ni 3.16

Calculated values
- DFT total energy (eV/cell) = -35.2
- total magnetic moment (μB per formula unit) = 0.0

***

Record 8
VASP calculation (PBE-GGA) on a geometry-optimized Cs2Hg2O5 structure.

Unit cell a=4.1915 b=4.1915 c=9.8175 alpha=90.00 beta=90.00 gamma=90.00
With the nearest neighbours (Å) after each atom.
Element x y z (fractional)
Cs (0.0000, 0.0000, 0.0000)  4 O 2.96
Cs (0.0000, 0.0000, 0.5000)  8 O 3.07
Hg (0.5000, 0.5000, 0.2270)  5 O 2.14-2.23
Hg (0.5000, 0.5000, 0.7730)  5 O 2.14-2.23
O (0.0000, 0.5000, 0.2714)  2 Hg 2.14
O (0.0000, 0.5000, 0.7286)  2 Hg 2.14
O (0.5000, 0.0000, 0.2714)  2 Hg 2.14
O (0.5000, 0.0000, 0.7286)  2 Hg 2.14
O (0.5000, 0.5000, 0.0000)  2 Hg 2.23

Calculated values
- energy above the most stable polymorph in this dataset (meV/atom) = 0.0